# 1
First-principles (PBE) data for crystalline Ag2PdS2 at its relaxed geometry, as listed in the Alexandria database.

Cell: 6.625 6.625 4.084 Å, 90.00 90.00 90.00°
Fractional positions:
Ag 0.156 0.344 0.000
Ag 0.344 0.844 0.000
Ag 0.656 0.156 0.000
Ag 0.844 0.656 0.000
Pd 0.000 0.000 0.500
Pd 0.500 0.500 0.500
S 0.172 0.672 0.500
S 0.328 0.172 0.500
S 0.672 0.828 0.500
S 0.828 0.328 0.500

- E_form (uncorrected): 24 meV/atom
- SG: P4/mbm



# 2
First-principles (PBE) data for crystalline Yb2P4O13 at its relaxed geometry, as listed in the Alexandria database.

Cell: 9.490 9.490 8.713 Å, 90.00 90.00 135.76°
Fractional positions:
Yb 0.103 0.394 0.145
Yb 0.394 0.103 0.855
Yb 0.606 0.897 0.355
Yb 0.897 0.606 0.645
P 0.082 0.402 0.499
P 0.223 0.351 0.772
P 0.351 0.223 0.228
P 0.402 0.082 0.501
P 0.598 0.918 0.001
P 0.649 0.777 0.728
P 0.777 0.649 0.272
P 0.918 0.598 0.999
O 0.016 0.475 0.602
O 0.077 0.762 0.883
O 0.097 0.326 0.896
O 0.120 0.291 0.607
O 0.238 0.923 0.617
O 0.244 0.285 0.207
O 0.273 0.571 0.404
O 0.285 0.244 0.793
O 0.291 0.120 0.393
O 0.326 0.097 0.104
O 0.412 0.588 0.750
O 0.429 0.727 0.096
O 0.475 0.016 0.398
O 0.525 0.984 0.898
O 0.571 0.273 0.596
O 0.588 0.412 0.250
O 0.674 0.903 0.604
O 0.709 0.880 0.893
O 0.715 0.756 0.293
O 0.727 0.429 0.904
O 0.756 0.715 0.707
O 0.762 0.077 0.117
O 0.880 0.709 0.107
O 0.903 0.674 0.396
O 0.923 0.238 0.383
O 0.984 0.525 0.102

- E_form (uncorrected): -2443 meV/atom
- SG: C222_1



# 3
First-principles (PBE) data for crystalline Nd3Cd2Hg3 at its relaxed geometry, as listed in the Alexandria database.

Cell: 4.819 15.746 6.246 Å, 90.00 112.62 90.00°
Fractional positions:
Nd 0.085 0.106 0.170
Nd 0.085 0.394 0.170
Nd 0.355 0.250 0.711
Nd 0.645 0.750 0.289
Nd 0.915 0.606 0.830
Nd 0.915 0.894 0.830
Cd 0.213 0.602 0.425
Cd 0.213 0.898 0.425
Cd 0.787 0.102 0.575
Cd 0.787 0.398 0.575
Hg 0.369 0.750 0.738
Hg 0.391 0.046 0.782
Hg 0.391 0.454 0.782
Hg 0.609 0.546 0.218
Hg 0.609 0.954 0.218
Hg 0.631 0.250 0.262

- Formation energy from the elements: -2.90 eV/f.u.
- SG: P2_1/m



# 4
First-principles (PBE) data for crystalline Fe2PtSe at its relaxed geometry, as listed in the Alexandria database.

Cell: 4.894 4.894 4.894 Å, 140.35 127.85 67.44°
Fractional positions:
Fe 0.235 0.235 0.000
Fe 0.765 0.765 0.000
Pt 0.500 0.000 0.500
Se 0.000 0.500 0.500

- E_form (uncorrected): 163 meV/atom
- SG: Immm



# 5
First-principles (PBE) data for crystalline PmEr3Tm at its relaxed geometry, as listed in the Alexandria database.

Cell: 6.651 6.651 8.594 Å, 106.25 106.25 63.12°
Fractional positions:
Pm 0.060 0.060 0.242
Pm 0.940 0.940 0.758
Er 0.097 0.594 0.381
Er 0.406 0.903 0.619
Er 0.441 0.441 0.768
Er 0.559 0.559 0.232
Er 0.594 0.097 0.381
Er 0.903 0.406 0.619
Tm 0.248 0.248 0.001
Tm 0.752 0.752 0.999

- Formation energy from the elements: 0.60 eV/f.u.
- SG: C2/m



# 6
First-principles (PBE) data for crystalline Mn2InCo at its relaxed geometry, as listed in the Alexandria database.

Cell: 3.024 3.024 6.508 Å, 90.00 90.00 90.00°
Fractional positions:
Mn 0.000 0.000 0.210
Mn 0.000 0.000 0.790
In 0.500 0.500 0.500
Co 0.500 0.500 0.000

- Formation energy from the elements: 0.46 eV/f.u.
- SG: P4/mmm



# 7
First-principles (PBE) data for crystalline Ac2ErZn3Ag12 at its relaxed geometry, as listed in the Alexandria database.

Cell: 10.775 10.775 10.775 Å, 38.29 38.29 38.29°
Fractional positions:
Ac 0.140 0.140 0.140
Ac 0.860 0.860 0.860
Er 0.500 0.500 0.500
Zn 0.000 0.500 0.500
Zn 0.500 0.000 0.500
Zn 0.500 0.500 0.000
Ag 0.063 0.619 0.619
Ag 0.090 0.090 0.695
Ag 0.090 0.695 0.090
Ag 0.305 0.910 0.910
Ag 0.381 0.381 0.937
Ag 0.381 0.937 0.381
Ag 0.619 0.063 0.619
Ag 0.619 0.619 0.063
Ag 0.695 0.090 0.090
Ag 0.910 0.305 0.910
Ag 0.910 0.910 0.305
Ag 0.937 0.381 0.381

- Formation energy from the elements: 0.74 eV/f.u.
- SG: R-3m



# 8
First-principles (PBE) data for crystalline Pr12Nd6Sn at its relaxed geometry, as listed in the Alexandria database.

Cell: 8.759 8.759 8.759 Å, 89.86 89.86 89.86°
Fractional positions:
Pr 0.021 0.291 0.948
Pr 0.052 0.979 0.709
Pr 0.131 0.341 0.458
Pr 0.291 0.948 0.021
Pr 0.341 0.458 0.131
Pr 0.458 0.131 0.341
Pr 0.542 0.869 0.659
Pr 0.659 0.542 0.869
Pr 0.709 0.052 0.979
Pr 0.869 0.659 0.542
Pr 0.948 0.021 0.291
Pr 0.979 0.709 0.052
Nd 0.228 0.598 0.761
Nd 0.239 0.772 0.402
Nd 0.402 0.239 0.772
Nd 0.598 0.761 0.228
Nd 0.761 0.228 0.598
Nd 0.772 0.402 0.239
Sn 0.500 0.500 0.500

- Formation energy from the elements: 0.42 eV/f.u.
- SG: R-3